Computed, not measured: a geometry-optimized Li2YCd2 structure at the PBE level of DFT.

```
data_Li2YCd2
_cell_length_a 8.0394
_cell_length_b 8.0394
_cell_length_c 3.2700
_cell_angle_alpha 90.00
_cell_angle_beta 90.00
_cell_angle_gamma 90.00
_space_group_name_H-M_alt 'P 1'
_space_group_IT_number 1
loop_
_space_group_symop_operation_xyz
'x,y,z'
loop_
_atom_site_label
_atom_site_fract_x
_atom_site_fract_y
_atom_site_fract_z
_atom_site_occupancy
Li1 0.1174 0.3826 0.0000 1
Li2 0.3826 0.8826 0.0000 1
Li3 0.6174 0.1174 0.0000 1
Li4 0.8826 0.6174 0.0000 1
Y1 0.0000 0.0000 0.0000 1
Y2 0.5000 0.5000 0.0000 1
Cd1 0.1806 0.6806 0.5000 1
Cd2 0.3194 0.1806 0.5000 1
Cd3 0.6806 0.8194 0.5000 1
Cd4 0.8194 0.3194 0.5000 1
```

Results
Density of states at the Fermi level in states/eV/cell: 7.7
ΔE_f in eV per atom: -0.206
Energy above the lowest structure with this stoichiometry in eV per atom: 0.032
E in eV/f.u.: -13.15